1.
TiTlSN2 | GGA-PBEsol | relaxed

abc: 3.8794 3.8794 5.1779
angles: 90.00 90.00 90.00
Closest atoms and distances in Å follow each position.
Fractional coordinates of all 5 atoms:
Tl  0.5000  0.5000  0.5000  4 S 2.74
S  0.0000  0.0000  0.5000  2 Ti 2.59, 4 Tl 2.74
Ti  0.0000  0.0000  0.0000  4 N 1.94
N  0.5000  0.0000  0.0000  2 Ti 1.94
N  0.0000  0.5000  0.0000  2 Ti 1.94

Properties
For the uncorrected formation energy, the calculation gives 0.4 eV per formula unit. The calculation puts the density of states at the Fermi level at 2.89 states/eV/cell. Its space-group type is P4/mmm (123). For the total magnetization, the calculation gives 0.001 Bohr magnetons per cell.

2.
ZrTiS2N | GGA-PBEsol | relaxed

abc: 3.7034 4.6612 4.6612
angles: 90.00 90.00 90.00
Closest atoms and distances in Å follow each position.
Fractional coordinates of all 5 atoms:
S  0.0000  0.5000  0.0000  2 Ti 2.33
Zr  0.5000  0.5000  0.5000  8 S 2.98, 4 N 3.30
N  0.5000  0.0000  0.0000  2 Ti 1.85
Ti  0.0000  0.0000  0.0000  2 N 1.85
S  0.0000  0.0000  0.5000  2 Ti 2.33

Properties
For the uncorrected formation energy, the calculation gives -3.6 eV per formula unit. The calculation puts the density of states at the Fermi level at 2.26 states/eV/cell. Its space-group type is P4/mmm (123). For the total magnetization, the calculation gives 0.000 Bohr magnetons per cell.

3.
TlS2N2 | GGA-PBEsol | relaxed

abc: 3.5755 3.5755 6.4356
angles: 90.00 90.00 90.00
Closest atoms and distances in Å follow each position.
Fractional coordinates of all 5 atoms:
S  0.0000  0.0000  0.5000  4 Tl 2.53
S  0.0000  0.0000  0.0000  4 N 1.79
N  0.0000  0.5000  0.0000  2 S 1.79
N  0.5000  0.0000  0.0000  2 S 1.79
Tl  0.5000  0.5000  0.5000  4 S 2.53

Properties
For the uncorrected formation energy, the calculation gives 6.2 eV per formula unit. The calculation puts the density of states at the Fermi level at 2.65 states/eV/cell. Its space-group type is P4/mmm (123). For the total magnetization, the calculation gives 0.000 Bohr magnetons per cell.

4.
Tl3SN | GGA-PBEsol | relaxed

abc: 5.7858 5.7858 5.7858
angles: 90.00 90.00 90.00
Closest atoms and distances in Å follow each position.
Fractional coordinates of all 5 atoms:
Tl  0.5000  0.0000  0.0000  2 S 2.89
Tl  0.0000  0.0000  0.5000  2 S 2.89
N  0.5000  0.5000  0.5000  12 Tl 4.09
S  0.0000  0.0000  0.0000  6 Tl 2.89
Tl  0.0000  0.5000  0.0000  2 S 2.89

Properties
For the uncorrected formation energy, the calculation gives 6.0 eV per formula unit. The calculation puts the density of states at the Fermi level at 4.38 states/eV/cell. Its space-group type is Pm-3m (221). For the total magnetization, the calculation gives 1.800 Bohr magnetons per cell.

5.
TlSN2 | GGA-PBEsol | relaxed

abc: 2.8647 2.8647 7.5230
angles: 79.02 79.02 60.00
Closest atoms and distances in Å follow each position.
Fractional coordinates of all 4 atoms:
N  0.8780  0.8780  0.3660  3 S 1.92
N  0.1220  0.1220  0.6340  3 S 1.92
S  0.5000  0.5000  0.5000  6 N 1.92
Tl  0.0000  0.0000  0.0000  2 N 2.69, 6 Tl 2.86

Properties
For the uncorrected formation energy, the calculation gives 4.2 eV per formula unit. The calculation puts the density of states at the Fermi level at 1.10 states/eV/cell. Its space-group type is R-3m (166). For the total magnetization, the calculation gives 0.000 Bohr magnetons per cell.

6.
W3SN | GGA-PBEsol | relaxed

abc: 4.0968 4.0968 4.0968
angles: 90.00 90.00 90.00
Closest atoms and distances in Å follow each position.
Fractional coordinates of all 5 atoms:
S  0.5000  0.5000  0.5000  12 W 2.90
N  0.0000  0.0000  0.0000  6 W 2.05
W  0.5000  0.0000  0.0000  2 N 2.05
W  0.0000  0.0000  0.5000  2 N 2.05
W  0.0000  0.5000  0.0000  2 N 2.05

Properties
For the uncorrected formation energy, the calculation gives 2.4 eV per formula unit. The calculation puts the density of states at the Fermi level at 3.36 states/eV/cell. Its space-group type is Pm-3m (221). For the total magnetization, the calculation gives 0.000 Bohr magnetons per cell.

7.
WS2N | GGA-PBEsol | relaxed

abc: 5.0380 5.0380 5.9930
angles: 114.85 114.85 90.00
Closest atoms and distances in Å follow each position.
Fractional coordinates of all 8 atoms:
S  0.8383  0.3750  0.2500  2 N 2.05, 2 W 2.26
S  0.1250  0.1617  0.7500  2 N 2.05, 2 W 2.26
N  0.7500  0.2500  0.5000  4 S 2.05
S  0.4117  0.8750  0.2500  2 N 2.05, 2 W 2.26
S  0.6250  0.5883  0.7500  2 N 2.05, 2 W 2.26
W  0.0000  0.0000  0.0000  4 S 2.26
W  0.2500  0.7500  0.5000  4 S 2.26
N  0.5000  0.5000  0.0000  4 S 2.05

Properties
For the uncorrected formation energy, the calculation gives 3.7 eV per formula unit. The calculation puts the density of states at the Fermi level at 6.09 states/eV/cell. Its space-group type is I-42d (122). For the total magnetization, the calculation gives 0.000 Bohr magnetons per cell.

8.
YWS2N | GGA-PBEsol | relaxed

abc: 4.1418 5.0811 5.0811
angles: 90.00 90.00 90.00
Closest atoms and distances in Å follow each position.
Fractional coordinates of all 5 atoms:
S  0.0000  0.0000  0.5000  2 Y 2.54
W  0.5000  0.5000  0.5000  8 S 3.28, 4 N 3.59
N  0.5000  0.0000  0.0000  2 Y 2.07
Y  0.0000  0.0000  0.0000  2 N 2.07
S  0.0000  0.5000  0.0000  2 Y 2.54

Properties
For the uncorrected formation energy, the calculation gives 5.3 eV per formula unit. The calculation puts the density of states at the Fermi level at 3.10 states/eV/cell. Its space-group type is P4/mmm (123). For the total magnetization, the calculation gives 2.218 Bohr magnetons per cell.

9.
ZrWS2N | GGA-PBEsol | relaxed

abc: 3.8153 4.9721 4.9721
angles: 90.00 90.00 90.00
Closest atoms and distances in Å follow each position.
Fractional coordinates of all 5 atoms:
Zr  0.0000  0.0000  0.0000  2 N 1.91
N  0.5000  0.0000  0.0000  2 Zr 1.91
S  0.0000  0.5000  0.0000  2 Zr 2.49
S  0.0000  0.0000  0.5000  2 Zr 2.49
W  0.5000  0.5000  0.5000  8 S 3.13

Properties
For the uncorrected formation energy, the calculation gives 3.5 eV per formula unit. The calculation puts the density of states at the Fermi level at 3.01 states/eV/cell. Its space-group type is P4/mmm (123). For the total magnetization, the calculation gives 3.453 Bohr magnetons per cell.

10.
Y4S3N2 | GGA-PBEsol | relaxed

abc: 3.7840 6.3660 14.5577
angles: 90.00 90.00 90.00
Closest atoms and distances in Å follow each position.
Fractional coordinates of all 18 atoms:
S  0.0000  0.7117  0.7984  5 Y 2.76-2.84
S  0.0000  0.2883  0.2016  5 Y 2.76-2.84
N  0.5000  0.6263  0.0844  4 Y 2.20-2.24
S  0.5000  0.7883  0.2984  5 Y 2.76-2.84
S  0.0000  0.0000  0.0000  6 Y 2.78-2.88
N  0.0000  0.1263  0.4156  4 Y 2.20-2.24
Y  0.5000  0.7163  0.9362  2 N 2.20-2.23
Y  0.0000  0.2163  0.5638  2 N 2.20-2.23
Y  0.5000  0.2212  0.3443  2 N 2.24
N  0.5000  0.3737  0.9156  4 Y 2.20-2.24
Y  0.0000  0.7837  0.4362  2 N 2.20-2.23
Y  0.0000  0.7212  0.1557  2 N 2.24
N  0.0000  0.8737  0.5844  4 Y 2.20-2.24
S  0.5000  0.5000  0.5000  6 Y 2.78-2.88
S  0.5000  0.2117  0.7016  5 Y 2.76-2.84
Y  0.0000  0.2788  0.8443  2 N 2.24
Y  0.5000  0.2837  0.0638  2 N 2.20-2.23
Y  0.5000  0.7788  0.6557  2 N 2.24

Properties
For the uncorrected formation energy, the calculation gives -18.2 eV per formula unit. Its space-group type is Pnnm (58). The relative energy among the computed polymorphs comes out at 27 meV/atom. For the total magnetization, the calculation gives 0.000 Bohr magnetons per cell.